{"formula": "CaZrTl4", "functional": "GGA-PBE", "state": "relaxed", "ef_ev_per_atom": 0.194, "crystal_system": "cubic", "dos_ef_per_ev_fu": 5.43, "cell": [[0.000, 4.364, 4.364], [4.364, 0.000, 4.364], [4.364, 4.364, 0.000]], "species": ["Ca", "Zr", "Tl", "Tl", "Tl", "Tl"], "frac_coords": [[0.000, 0.000, 0.000], [0.250, 0.250, 0.250], [0.126, 0.625, 0.625], [0.625, 0.126, 0.625], [0.625, 0.625, 0.126], [0.625, 0.625, 0.625]]}